## P
A plane-wave DFT calculation with PBE was carried out for an optimized crystal structure of CdCoSn2Pb.

```
data_CdCoSn2Pb
_space_group_name_H-M_alt 'P 4/m m m'
_space_group_IT_number 123
_space_group_name_Hall '-P 4 2'
_cell_length_a 4.904
_cell_length_b 4.904
_cell_length_c 5.183
_cell_angle_alpha 90.00
_cell_angle_beta 90.00
_cell_angle_gamma 90.00
loop_
_atom_site_label
_atom_site_type_symbol
_atom_site_fract_x
_atom_site_fract_y
_atom_site_fract_z
_atom_site_occupancy
Cd1 Cd 0.000 0.000 0.000 1
Co1 Co 0.000 0.000 0.500 1
Sn1 Sn 0.000 0.500 0.500 1
Pb1 Pb 0.500 0.500 0.000 1
```

## Q
A plane-wave DFT calculation with PBE was carried out for an optimized crystal structure of CdCoSn2Pb.

```
data_CdCoSn2Pb
_space_group_name_H-M_alt 'P 4/m m m'
_space_group_IT_number 123
_space_group_name_Hall '-P 4 2'
_cell_length_a 4.957
_cell_length_b 4.957
_cell_length_c 5.205
_cell_angle_alpha 90.00
_cell_angle_beta 90.00
_cell_angle_gamma 90.00
loop_
_atom_site_label
_atom_site_type_symbol
_atom_site_fract_x
_atom_site_fract_y
_atom_site_fract_z
_atom_site_occupancy
Cd1 Cd 0.000 0.000 0.000 1
Co1 Co 0.500 0.500 0.500 1
Sn1 Sn 0.000 0.500 0.500 1
Pb1 Pb 0.500 0.500 0.000 1
```

Most stable: P. Least stable: Q.

## P
A plane-wave DFT calculation with PBE was carried out for an optimized crystal structure of Y2CdCoPb.

```
data_Y2CdCoPb
_space_group_name_H-M_alt 'P 4/m m m'
_space_group_IT_number 123
_space_group_name_Hall '-P 4 2'
_cell_length_a 5.091
_cell_length_b 5.091
_cell_length_c 4.984
_cell_angle_alpha 90.00
_cell_angle_beta 90.00
_cell_angle_gamma 90.00
loop_
_atom_site_label
_atom_site_type_symbol
_atom_site_fract_x
_atom_site_fract_y
_atom_site_fract_z
_atom_site_occupancy
Y1 Y 0.000 0.500 0.000 1
Cd1 Cd 0.000 0.000 0.500 1
Co1 Co 0.000 0.000 0.000 1
Pb1 Pb 0.500 0.500 0.500 1
```

## Q
A plane-wave DFT calculation with PBE was carried out for an optimized crystal structure of Y2CdCoPb.

```
data_Y2CdCoPb
_space_group_name_H-M_alt 'P 4/m m m'
_space_group_IT_number 123
_space_group_name_Hall '-P 4 2'
_cell_length_a 5.178
_cell_length_b 5.178
_cell_length_c 4.925
_cell_angle_alpha 90.00
_cell_angle_beta 90.00
_cell_angle_gamma 90.00
loop_
_atom_site_label
_atom_site_type_symbol
_atom_site_fract_x
_atom_site_fract_y
_atom_site_fract_z
_atom_site_occupancy
Y1 Y 0.000 0.500 0.000 1
Cd1 Cd 0.000 0.000 0.500 1
Co1 Co 0.500 0.500 0.000 1
Pb1 Pb 0.500 0.500 0.500 1
```

Most stable: P. Least stable: Q.

## P
A plane-wave DFT calculation with PBE was carried out for an optimized crystal structure of Pm3CdCo2.

```
data_Pm3CdCo2
_space_group_name_H-M_alt 'P m c 21'
_space_group_IT_number 26
_space_group_name_Hall 'P 2c -2'
_cell_length_a 3.827
_cell_length_b 10.711
_cell_length_c 7.360
_cell_angle_alpha 90.00
_cell_angle_beta 90.00
_cell_angle_gamma 90.00
loop_
_atom_site_label
_atom_site_type_symbol
_atom_site_fract_x
_atom_site_fract_y
_atom_site_fract_z
_atom_site_occupancy
Pm1 Pm 0.000 0.038 0.000 1
Pm2 Pm 0.500 0.277 0.392 1
Pm3 Pm 0.500 0.330 0.898 1
Cd1 Cd 0.000 0.484 0.636 1
Co1 Co 0.000 0.216 0.665 1
Co2 Co 0.500 0.104 0.708 1
```

## Q
A plane-wave DFT calculation with PBE was carried out for an optimized crystal structure of Pm3CdCo2.

```
data_Pm3CdCo2
_space_group_name_H-M_alt 'P 4/m m m'
_space_group_IT_number 123
_space_group_name_Hall '-P 4 2'
_cell_length_a 3.474
_cell_length_b 3.474
_cell_length_c 11.436
_cell_angle_alpha 90.00
_cell_angle_beta 90.00
_cell_angle_gamma 90.00
loop_
_atom_site_label
_atom_site_type_symbol
_atom_site_fract_x
_atom_site_fract_y
_atom_site_fract_z
_atom_site_occupancy
Pm1 Pm 0.000 0.000 0.000 1
Pm2 Pm 0.000 0.000 0.299 1
Cd1 Cd 0.500 0.500 0.500 1
Co1 Co 0.500 0.500 0.156 1
```

Most stable: P. Least stable: Q.